First-principles (PBE) data for a relaxed Gd2Tc crystal, as listed in OQMD via LeMat-Bulk. Values from VASP.

Structure (Quantum ESPRESSO input):
```
&SYSTEM
  ibrav = 0, nat = 3, ntyp = 2
/
ATOMIC_SPECIES
Gd 157.25 Gd.upf
Tc 98.00 Tc.upf
CELL_PARAMETERS angstrom
0.000 3.403 3.403
3.403 0.000 3.403
3.403 3.403 0.000
ATOMIC_POSITIONS crystal
Gd 0.250 0.250 0.250
Gd 0.750 0.750 0.750
Tc 0.000 0.000 0.000
```

Properties
Raw total energy, eV/atom: -6.389
Space-group type: Fm-3m, No. 225
Relative energy among the computed polymorphs, meV/atom: 0.0
Energy of formation, meV/atom: 167.3

=====

First-principles (PBE) data for a relaxed Gd2Tc crystal, as listed in OQMD via LeMat-Bulk. Values from VASP.

Structure (Quantum ESPRESSO input):
```
&SYSTEM
  ibrav = 0, nat = 6, ntyp = 2
/
ATOMIC_SPECIES
Tc 98.00 Tc.upf
Gd 157.25 Gd.upf
CELL_PARAMETERS angstrom
-0.740 -4.749 3.404
-0.285 0.588 5.853
-5.112 -0.849 2.799
ATOMIC_POSITIONS crystal
Tc 0.250 0.250 0.250
Tc 0.000 0.000 0.000
Gd 0.125 0.625 0.625
Gd 0.625 0.625 0.125
Gd 0.625 0.125 0.625
Gd 0.625 0.625 0.625
```

Properties
Raw total energy, eV/atom: -5.406
Space-group type: Fd-3m, No. 227
Relative energy among the computed polymorphs, meV/atom: 983.1
Energy of formation, meV/atom: 1150.5

=====

First-principles (PBE) data for a relaxed GdTlTc crystal, as listed in OQMD via LeMat-Bulk. Values from VASP.

Structure (Quantum ESPRESSO input):
```
&SYSTEM
  ibrav = 0, nat = 3, ntyp = 3
/
ATOMIC_SPECIES
Tl 204.38 Tl.upf
Gd 157.25 Gd.upf
Tc 98.00 Tc.upf
CELL_PARAMETERS angstrom
-0.363 -0.892 4.747
-4.121 -1.777 1.823
-0.169 -4.569 1.600
ATOMIC_POSITIONS crystal
Tl 0.750 0.750 0.750
Gd 0.000 0.000 0.000
Tc 0.250 0.250 0.250
```

Properties
Raw total energy, eV/atom: -4.777
Space-group type: F-43m, No. 216
Relative energy among the computed polymorphs, meV/atom: 361.1

=====

First-principles (PBE) data for a relaxed GdTlTc crystal, as listed in OQMD via LeMat-Bulk. Values from VASP.

Structure (Quantum ESPRESSO input):
```
&SYSTEM
  ibrav = 0, nat = 3, ntyp = 3
/
ATOMIC_SPECIES
Gd 157.25 Gd.upf
Tl 204.38 Tl.upf
Tc 98.00 Tc.upf
CELL_PARAMETERS angstrom
3.864 -0.707 2.693
3.249 3.452 0.456
0.467 2.298 4.145
ATOMIC_POSITIONS crystal
Gd 0.250 0.250 0.250
Tl 0.000 0.000 0.000
Tc 0.750 0.750 0.750
```

Properties
Raw total energy, eV/atom: -5.138
Space-group type: F-43m, No. 216
Relative energy among the computed polymorphs, meV/atom: 0.0

=====

First-principles (PBE) data for a relaxed GdYTc crystal, as listed in OQMD via LeMat-Bulk. Values from VASP.

Structure (Quantum ESPRESSO input):
```
&SYSTEM
  ibrav = 0, nat = 3, ntyp = 3
/
ATOMIC_SPECIES
Tc 98.00 Tc.upf
Gd 157.25 Gd.upf
Y 88.91 Y.upf
CELL_PARAMETERS angstrom
0.000 3.379 3.379
3.379 0.000 3.379
3.379 3.379 0.000
ATOMIC_POSITIONS crystal
Tc 0.250 0.250 0.250
Gd 0.000 0.000 0.000
Y 0.750 0.750 0.750
```

Properties
Raw total energy, eV/atom: -6.191
Space-group type: F-43m, No. 216
Relative energy among the computed polymorphs, meV/atom: 0.0
Energy of formation, meV/atom: 968.6

=====

First-principles (PBE) data for a relaxed GdZnTc crystal, as listed in OQMD via LeMat-Bulk. Values from VASP.

Structure (Quantum ESPRESSO input):
```
&SYSTEM
  ibrav = 0, nat = 3, ntyp = 3
/
ATOMIC_SPECIES
Tc 98.00 Tc.upf
Zn 65.41 Zn.upf
Gd 157.25 Gd.upf
CELL_PARAMETERS angstrom
0.000 3.164 3.164
3.164 0.000 3.164
3.164 3.164 0.000
ATOMIC_POSITIONS crystal
Tc 0.750 0.750 0.750
Zn 0.000 0.000 0.000
Gd 0.250 0.250 0.250
```

Properties
Raw total energy, eV/atom: -5.021
Space-group type: F-43m, No. 216
Energy of formation, meV/atom: 405.9

=====

First-principles (PBE) data for a relaxed Gd2Te3 crystal, as listed in OQMD via LeMat-Bulk. Values from VASP.

Structure (Quantum ESPRESSO input):
```
&SYSTEM
  ibrav = 0, nat = 20, ntyp = 2
/
ATOMIC_SPECIES
Gd 157.25 Gd.upf
Te 127.60 Te.upf
CELL_PARAMETERS angstrom
12.085 0.000 0.000
0.000 4.321 0.000
0.000 0.000 11.867
ATOMIC_POSITIONS crystal
Gd 0.696 0.750 0.503
Gd 0.304 0.250 0.497
Gd 0.518 0.750 0.812
Gd 0.018 0.750 0.688
Gd 0.196 0.750 0.997
Gd 0.804 0.250 0.003
Gd 0.982 0.250 0.312
Gd 0.482 0.250 0.188
Te 0.382 0.250 0.944
Te 0.958 0.750 0.123
Te 0.042 0.250 0.877
Te 0.882 0.250 0.556
Te 0.276 0.750 0.696
Te 0.224 0.250 0.196
Te 0.118 0.750 0.444
Te 0.776 0.750 0.804
Te 0.458 0.750 0.377
Te 0.724 0.250 0.304
Te 0.542 0.250 0.623
Te 0.618 0.750 0.056
```

Properties
Raw total energy, eV/atom: -5.164
Space-group type: Pnma, No. 62

=====

First-principles (PBE) data for a relaxed Gd2Te3 crystal, as listed in OQMD via LeMat-Bulk. Values from VASP.

Structure (Quantum ESPRESSO input):
```
&SYSTEM
  ibrav = 0, nat = 20, ntyp = 2
/
ATOMIC_SPECIES
Gd 157.25 Gd.upf
Te 127.60 Te.upf
CELL_PARAMETERS angstrom
-13.050 -6.426 -0.499
-13.660 0.947 -2.275
-0.654 -4.176 -6.326
ATOMIC_POSITIONS crystal
Gd 0.500 0.500 0.000
Gd 0.000 0.000 0.500
Gd 0.583 0.583 0.417
Gd 0.417 0.417 0.583
Gd 0.667 0.667 0.833
Gd 0.250 0.250 0.750
Gd 0.833 0.833 0.667
Gd 0.750 0.750 0.250
Te 0.334 0.832 0.166
Te 0.166 0.668 0.334
Te 0.832 0.334 0.668
Te 0.498 0.002 0.002
Te 0.582 0.084 0.418
Te 0.752 0.248 0.248
Te 0.084 0.582 0.916
Te 0.916 0.418 0.084
Te 0.248 0.752 0.752
Te 0.418 0.916 0.582
Te 0.668 0.166 0.832
Te 0.002 0.498 0.498
```

Properties
Raw total energy, eV/atom: -5.175
Space-group type: Fddd, No. 70

=====

First-principles (PBE) data for a relaxed Gd5Te3 crystal, as listed in OQMD via LeMat-Bulk. Values from VASP.

Structure (Quantum ESPRESSO input):
```
&SYSTEM
  ibrav = 0, nat = 16, ntyp = 2
/
ATOMIC_SPECIES
Te 127.60 Te.upf
Gd 157.25 Gd.upf
CELL_PARAMETERS angstrom
9.097 0.000 0.000
-4.549 7.878 0.000
0.000 0.000 6.205
ATOMIC_POSITIONS crystal
Te 0.000 0.615 0.250
Te 0.385 0.000 0.750
Te 0.385 0.385 0.250
Te 0.000 0.385 0.750
Te 0.615 0.615 0.750
Te 0.615 0.000 0.250
Gd 0.000 0.256 0.250
Gd 0.256 0.000 0.250
Gd 0.667 0.333 0.500
Gd 0.000 0.744 0.750
Gd 0.333 0.667 0.500
Gd 0.667 0.333 0.000
Gd 0.744 0.000 0.750
Gd 0.256 0.256 0.750
Gd 0.333 0.667 0.000
Gd 0.744 0.744 0.250
```

Properties
Raw total energy, eV/atom: -5.076
Space-group type: P6_3/mcm, No. 193

=====

First-principles (PBE) data for a relaxed GdTe crystal, as listed in OQMD via LeMat-Bulk. Values from VASP.

Structure (Quantum ESPRESSO input):
```
&SYSTEM
  ibrav = 0, nat = 2, ntyp = 2
/
ATOMIC_SPECIES
Gd 157.25 Gd.upf
Te 127.60 Te.upf
CELL_PARAMETERS angstrom
0.493 2.294 4.284
-3.383 -0.567 3.477
1.045 -2.552 4.031
ATOMIC_POSITIONS crystal
Gd 0.000 0.000 0.000
Te 0.250 0.250 0.250
```

Properties
Raw total energy, eV/atom: -4.779
Space-group type: F-43m, No. 216

=====

First-principles (PBE) data for a relaxed GdThTe crystal, as listed in OQMD via LeMat-Bulk. Values from VASP.

Structure (Quantum ESPRESSO input):
```
&SYSTEM
  ibrav = 0, nat = 3, ntyp = 3
/
ATOMIC_SPECIES
Th 232.04 Th.upf
Te 127.60 Te.upf
Gd 157.25 Gd.upf
CELL_PARAMETERS angstrom
0.944 -5.104 0.228
-1.560 -2.749 4.124
-3.911 -3.389 -0.466
ATOMIC_POSITIONS crystal
Th 0.750 0.750 0.750
Te 0.000 0.000 0.000
Gd 0.250 0.250 0.250
```

Properties
Raw total energy, eV/atom: -5.412
Space-group type: F-43m, No. 216
Relative energy among the computed polymorphs, meV/atom: 0.0

=====

First-principles (PBE) data for a relaxed GdTmTe crystal, as listed in OQMD via LeMat-Bulk. Values from VASP.

Structure (Quantum ESPRESSO input):
```
&SYSTEM
  ibrav = 0, nat = 3, ntyp = 3
/
ATOMIC_SPECIES
Tm 168.93 Tm.upf
Te 127.60 Te.upf
Gd 157.25 Gd.upf
CELL_PARAMETERS angstrom
-4.927 -0.544 0.949
-3.405 2.273 -2.952
-2.880 -2.744 -3.106
ATOMIC_POSITIONS crystal
Tm 0.750 0.750 0.750
Te 0.000 0.000 0.000
Gd 0.250 0.250 0.250
```

Properties
Raw total energy, eV/atom: -4.536
Space-group type: F-43m, No. 216
Relative energy among the computed polymorphs, meV/atom: 0.0

=====

First-principles (PBE) data for a relaxed GdUTe crystal, as listed in OQMD via LeMat-Bulk. Values from VASP.

Structure (Quantum ESPRESSO input):
```
&SYSTEM
  ibrav = 0, nat = 3, ntyp = 3
/
ATOMIC_SPECIES
U 238.03 U.upf
Te 127.60 Te.upf
Gd 157.25 Gd.upf
CELL_PARAMETERS angstrom
0.000 3.612 3.612
3.612 0.000 3.612
3.612 3.612 0.000
ATOMIC_POSITIONS crystal
U 0.750 0.750 0.750
Te 0.000 0.000 0.000
Gd 0.250 0.250 0.250
```

Properties
Raw total energy, eV/atom: -6.280
Space-group type: F-43m, No. 216
Relative energy among the computed polymorphs, meV/atom: 0.0

=====

First-principles (PBE) data for a relaxed GdTeW crystal, as listed in OQMD via LeMat-Bulk. Values from VASP.

Structure (Quantum ESPRESSO input):
```
&SYSTEM
  ibrav = 0, nat = 3, ntyp = 3
/
ATOMIC_SPECIES
Gd 157.25 Gd.upf
W 183.84 W.upf
Te 127.60 Te.upf
CELL_PARAMETERS angstrom
0.000 3.510 3.510
3.510 0.000 3.510
3.510 3.510 0.000
ATOMIC_POSITIONS crystal
Gd 0.000 0.000 0.000
W 0.750 0.750 0.750
Te 0.250 0.250 0.250
```

Properties
Raw total energy, eV/atom: -5.788
Space-group type: F-43m, No. 216
Relative energy among the computed polymorphs, meV/atom: 479.5

=====

First-principles (PBE) data for a relaxed GdTeW crystal, as listed in OQMD via LeMat-Bulk. Values from VASP.

Structure (Quantum ESPRESSO input):
```
&SYSTEM
  ibrav = 0, nat = 3, ntyp = 3
/
ATOMIC_SPECIES
W 183.84 W.upf
Gd 157.25 Gd.upf
Te 127.60 Te.upf
CELL_PARAMETERS angstrom
0.000 3.360 3.360
3.360 0.000 3.360
3.360 3.360 0.000
ATOMIC_POSITIONS crystal
W 0.750 0.750 0.750
Gd 0.250 0.250 0.250
Te 0.000 0.000 0.000
```

Properties
Raw total energy, eV/atom: -6.267
Space-group type: F-43m, No. 216
Relative energy among the computed polymorphs, meV/atom: 0.0

=====

First-principles (PBE) data for a relaxed Gd2Zn2Te crystal, as listed in OQMD via LeMat-Bulk. Values from VASP.

Structure (Quantum ESPRESSO input):
```
&SYSTEM
  ibrav = 0, nat = 5, ntyp = 3
/
ATOMIC_SPECIES
Te 127.60 Te.upf
Gd 157.25 Gd.upf
Zn 65.41 Zn.upf
CELL_PARAMETERS angstrom
4.340 0.000 0.000
-2.170 3.758 0.000
0.000 0.000 7.662
ATOMIC_POSITIONS crystal
Te 0.000 0.000 0.000
Gd 0.667 0.333 0.740
Gd 0.667 0.333 0.260
Zn 0.000 0.000 0.500
Zn 0.333 0.667 0.500
```

Properties
Raw total energy, eV/atom: -3.769
Space-group type: P-6m2, No. 187

=====

First-principles (PBE) data for a relaxed GdZrTe crystal, as listed in OQMD via LeMat-Bulk. Values from VASP.

Structure (Quantum ESPRESSO input):
```
&SYSTEM
  ibrav = 0, nat = 3, ntyp = 3
/
ATOMIC_SPECIES
Zr 91.22 Zr.upf
Te 127.60 Te.upf
Gd 157.25 Gd.upf
CELL_PARAMETERS angstrom
0.000 3.479 3.479
3.479 0.000 3.479
3.479 3.479 0.000
ATOMIC_POSITIONS crystal
Zr 0.750 0.750 0.750
Te 0.000 0.000 0.000
Gd 0.250 0.250 0.250
```

Properties
Raw total energy, eV/atom: -5.773
Space-group type: F-43m, No. 216
Relative energy among the computed polymorphs, meV/atom: 0.0

=====

First-principles (PBE) data for a relaxed Gd2Th crystal, as listed in OQMD via LeMat-Bulk. Values from VASP.

Structure (Quantum ESPRESSO input):
```
&SYSTEM
  ibrav = 0, nat = 6, ntyp = 2
/
ATOMIC_SPECIES
Th 232.04 Th.upf
Gd 157.25 Gd.upf
CELL_PARAMETERS angstrom
0.000 6.645 6.645
6.645 0.000 6.645
6.645 6.645 0.000
ATOMIC_POSITIONS crystal
Th 0.500 0.500 0.500
Th 0.750 0.750 0.750
Gd 0.125 0.625 0.625
Gd 0.625 0.625 0.625
Gd 0.625 0.125 0.625
Gd 0.625 0.625 0.125
```

Properties
Raw total energy, eV/atom: -3.130
Space-group type: Fd-3m, No. 227
Energy of formation, meV/atom: 2443.6

=====

First-principles (PBE) data for a relaxed GdThTl crystal, as listed in OQMD via LeMat-Bulk. Values from VASP.

Structure (Quantum ESPRESSO input):
```
&SYSTEM
  ibrav = 0, nat = 3, ntyp = 3
/
ATOMIC_SPECIES
Th 232.04 Th.upf
Gd 157.25 Gd.upf
Tl 204.38 Tl.upf
CELL_PARAMETERS angstrom
0.000 3.715 3.715
3.715 0.000 3.715
3.715 3.715 0.000
ATOMIC_POSITIONS crystal
Th 0.750 0.750 0.750
Gd 0.250 0.250 0.250
Tl 0.000 0.000 0.000
```

Properties
Raw total energy, eV/atom: -4.652
Space-group type: F-43m, No. 216

=====

First-principles (PBE) data for a relaxed GdYTh crystal, as listed in OQMD via LeMat-Bulk. Values from VASP.

Structure (Quantum ESPRESSO input):
```
&SYSTEM
  ibrav = 0, nat = 3, ntyp = 3
/
ATOMIC_SPECIES
Y 88.91 Y.upf
Th 232.04 Th.upf
Gd 157.25 Gd.upf
CELL_PARAMETERS angstrom
0.000 3.850 3.850
3.850 0.000 3.850
3.850 3.850 0.000
ATOMIC_POSITIONS crystal
Y 0.000 0.000 0.000
Th 0.750 0.750 0.750
Gd 0.250 0.250 0.250
```

Properties
Raw total energy, eV/atom: -5.339
Space-group type: F-43m, No. 216
Energy of formation, meV/atom: 838.8